Here is an optimized crystal structure of LiCoIO2 from Alexandria. Energies are from GGA+U.

Values from the calculation:
Energy (eV/atom): -4.194
Space group: No. 123
Crystal system: tetragonal
Relative energy among the computed polymorphs (meV/atom): 0.0

a = 3.7335 Å, b = 3.7335 Å, c = 6.1326 Å
α = 90.00°, β = 90.00°, γ = 90.00°
Positions (direct):
Li (0.0000, 0.0000, 0.0000)
Co (0.5000, 0.5000, 0.5000)
I (0.5000, 0.5000, 0.0000)
O (0.0000, 0.5000, 0.5000)
O (0.5000, 0.0000, 0.5000)